# Cr3AsF | the Alexandria database | PBE+U | optimized geometry
data_Cr3AsF
_space_group_name_H-M_alt 'P m -3 m'
_space_group_IT_number 221
_space_group_name_Hall '-P 4 2 3'
_cell_length_a 4.483
_cell_length_b 4.483
_cell_length_c 4.483
_cell_angle_alpha 90.00
_cell_angle_beta 90.00
_cell_angle_gamma 90.00
loop_
_atom_site_label
_atom_site_type_symbol
_atom_site_fract_x
_atom_site_fract_y
_atom_site_fract_z
_atom_site_occupancy
Cr1 Cr 0.000 0.000 0.500 1
As1 As 0.500 0.500 0.500 1
F1 F 0.000 0.000 0.000 1
# Offset from the most stable computed form (meV per atom): 0
# V (Å³ per cell): 90.1